Below is a geometry-optimized Li2MgScBe structure, with properties calculated at the PBE level.

abc: 4.5358 4.5358 4.6655
angles: 90.00 90.00 90.00
Fractional coordinates of all 5 atoms:
Li 0.0000 0.5000 0.0000
Li 0.5000 0.0000 0.0000
Mg 0.0000 0.0000 0.5000
Sc 0.5000 0.5000 0.5000
Be 0.0000 0.0000 0.0000

- density of states at the Fermi level (states/eV/f.u.) = 3.537
- raw total energy (eV per atom) = -2.70
- size of the total moment (Bohr magnetons per cell) = 0.7
- formation energy (eV/atom) = 0.39